A plane-wave DFT calculation with PBE+U was carried out for an optimized crystal structure of ScWN2F.

Properties
- crystal system = tetragonal
- M_tot (μB per formula unit) = 2.1
- electronic total energy (eV/atom) = -6.638
- offset from the most stable computed form (meV/atom) = 423.3

abc: 4.179 4.179 3.840
angles: 90.00 90.00 90.00
Each line ends with the local moment (μB).
Fractional coordinates of all 5 atoms:
F (0.000, 0.000, 0.500)  0.04
N (0.500, 0.000, 0.000)  -0.40
N (0.000, 0.500, 0.000)  -0.40
Sc (0.000, 0.000, 0.000)  -0.02
W (0.500, 0.500, 0.500)  2.91